No. 1
# RbReNi (GGA-PBE, optimized geometry)
data_RbReNi
_chemical_formula_sum 'Rb2 Re2 Ni2'
_cell_length_a 4.9081
_cell_length_b 4.9081
_cell_length_c 5.8961
_cell_angle_alpha 90.00
_cell_angle_beta 90.00
_cell_angle_gamma 120.00
_space_group_name_H-M_alt 'P 63 m c'
_space_group_IT_number 186
_space_group_name_Hall 'P 6c -2c'
loop_
_atom_site_label
_atom_site_type_symbol
_atom_site_fract_x
_atom_site_fract_y
_atom_site_fract_z
_atom_site_occupancy
Rb1 Rb 0.0000 0.0000 0.0000 1
Re1 Re 0.3333 0.6667 0.3101 1
Ni1 Ni 0.3333 0.6667 0.7129 1
# DOS(E_F)   9.2 states/eV per cell
# Theoretical density   8.92 g cm⁻³

---

No. 2
# Ti2MoIr (GGA-PBE, optimized geometry)
data_Ti2MoIr
_chemical_formula_sum 'Ti8 Mo4 Ir4'
_cell_length_a 6.247
_cell_length_b 6.247
_cell_length_c 6.247
_cell_angle_alpha 90.00
_cell_angle_beta 90.00
_cell_angle_gamma 90.00
_space_group_name_H-M_alt 'F m -3 m'
_space_group_IT_number 225
_space_group_name_Hall '-F 4 2 3'
loop_
_atom_site_label
_atom_site_type_symbol
_atom_site_fract_x
_atom_site_fract_y
_atom_site_fract_z
_atom_site_occupancy
Ti1 Ti 0.250 0.250 0.250 1
Mo1 Mo 0.000 0.000 0.000 1
Ir1 Ir 0.000 0.000 0.500 1
# DOS(E_F)   17.1 states/eV per cell
# Theoretical density   10.46 g cm⁻³

---

No. 3
# Mn3GaNi12 (GGA-PBE, optimized geometry)
data_Mn3GaNi12
_chemical_formula_sum 'Mn3 Ga1 Ni12'
_cell_length_a 3.567
_cell_length_b 3.567
_cell_length_c 14.285
_cell_angle_alpha 90.00
_cell_angle_beta 90.00
_cell_angle_gamma 90.00
_space_group_name_H-M_alt 'P 4/m m m'
_space_group_IT_number 123
_space_group_name_Hall '-P 4 2'
loop_
_atom_site_label
_atom_site_type_symbol
_atom_site_fract_x
_atom_site_fract_y
_atom_site_fract_z
_atom_site_occupancy
Mn1 Mn 0.000 0.000 0.000 1
Mn2 Mn 0.000 0.000 0.250 1
Ga1 Ga 0.000 0.000 0.500 1
Ni1 Ni 0.000 0.500 0.125 1
Ni2 Ni 0.000 0.500 0.374 1
Ni3 Ni 0.500 0.500 0.000 1
Ni4 Ni 0.500 0.500 0.250 1
Ni5 Ni 0.500 0.500 0.500 1
# DOS(E_F)   17.5 states/eV per cell
# Theoretical density   8.58 g cm⁻³

---

No. 4
# DyLuCu (GGA-PBE, optimized geometry)
data_DyLuCu
_chemical_formula_sum 'Dy1 Lu1 Cu1'
_cell_length_a 4.7332
_cell_length_b 4.7332
_cell_length_c 3.7545
_cell_angle_alpha 90.00
_cell_angle_beta 90.00
_cell_angle_gamma 120.00
_space_group_name_H-M_alt 'P 3 m 1'
_space_group_IT_number 156
loop_
_space_group_symop_operation_xyz
'x,y,z'
'-y,x-y,z'
'-x+y,-x,z'
'-y,-x,z'
'-x+y,y,z'
'x,x-y,z'
loop_
_atom_site_label
_atom_site_type_symbol
_atom_site_fract_x
_atom_site_fract_y
_atom_site_fract_z
_atom_site_occupancy
Dy1 Dy 0.0000 0.0000 0.0000 1
Lu1 Lu 0.3333 0.6667 0.4847 1
Cu1 Cu 0.6667 0.3333 0.7010 1
# DOS(E_F)   2.8 states/eV per cell
# Theoretical density   9.14 g cm⁻³

---

Number 1: formation energy 2.033 eV per atom. Number 2: formation energy -0.628 eV per atom. Number 3: formation energy -0.150 eV per atom. Number 4: formation energy 0.032 eV per atom.